one:
Re2MoOs | PBEsol | relaxed

The structure in CIF format:
```
data_Re2MoOs
_chemical_formula_sum 'Re4 Mo2 Os2'
_cell_length_a 3.8782
_cell_length_b 3.8782
_cell_length_c 7.7742
_cell_angle_alpha 90.00
_cell_angle_beta 90.00
_cell_angle_gamma 90.00
_symmetry_space_group_name_H-M 'I -4 m 2'
_symmetry_Int_Tables_number 119
_symmetry_space_group_name_Hall 'I -4 -2'
loop_
_atom_site_label
_atom_site_fract_x
_atom_site_fract_y
_atom_site_fract_z
Re1 0.0000 0.0000 0.0000
Re2 0.0000 0.5000 0.2500
Mo1 0.0000 0.5000 0.7500
Os1 0.0000 0.0000 0.5000
```

Summary:
* crystal system: tetragonal
* D(E_F): 0.9796 states/eV per atom

two:
Re2MoOs | PBEsol | relaxed

The structure in CIF format:
```
data_Re2MoOs
_chemical_formula_sum 'Re8 Mo4 Os4'
_cell_length_a 6.1766
_cell_length_b 6.1766
_cell_length_c 6.1766
_cell_angle_alpha 90.00
_cell_angle_beta 90.00
_cell_angle_gamma 90.00
_symmetry_space_group_name_H-M 'F -4 3 m'
_symmetry_Int_Tables_number 216
_symmetry_space_group_name_Hall 'F -4 2 3'
loop_
_atom_site_label
_atom_site_fract_x
_atom_site_fract_y
_atom_site_fract_z
Re1 0.0000 0.0000 0.0000
Re2 0.2500 0.2500 0.2500
Mo1 0.0000 0.0000 0.5000
Os1 0.2500 0.2500 0.7500
```

Summary:
* crystal system: cubic
* D(E_F): 1.2552 states/eV per atom

Which structure is the least stable? The one labeled two.

one:
Re2MoOs | PBEsol | relaxed

The structure in CIF format:
```
data_Re2MoOs
_chemical_formula_sum 'Re2 Mo1 Os1'
_cell_length_a 2.7466
_cell_length_b 3.8750
_cell_length_c 5.5174
_cell_angle_alpha 90.00
_cell_angle_beta 90.00
_cell_angle_gamma 90.00
_symmetry_space_group_name_H-M 'P m m m'
_symmetry_Int_Tables_number 47
loop_
_symmetry_equiv_pos_as_xyz
'x,y,z'
'-x,-y,-z'
'-x,-y,z'
'x,y,-z'
'x,-y,-z'
'-x,y,z'
'-x,y,-z'
'x,-y,z'
loop_
_atom_site_label
_atom_site_fract_x
_atom_site_fract_y
_atom_site_fract_z
Re1 0.0000 0.0000 0.2435
Mo1 0.5000 0.5000 0.5000
Os1 0.5000 0.5000 0.0000
```

Summary:
* crystal system: orthorhombic
* D(E_F): 0.8829 states/eV per atom

two:
Re2MoOs | PBEsol | relaxed

The structure in CIF format:
```
data_Re2MoOs
_chemical_formula_sum 'Re2 Mo1 Os1'
_cell_length_a 2.7432
_cell_length_b 3.8747
_cell_length_c 5.5065
_cell_angle_alpha 90.00
_cell_angle_beta 90.00
_cell_angle_gamma 90.00
_symmetry_space_group_name_H-M 'P m m 2'
_symmetry_Int_Tables_number 25
loop_
_symmetry_equiv_pos_as_xyz
'x,y,z'
'-x,-y,z'
'-x,y,z'
'x,-y,z'
loop_
_atom_site_label
_atom_site_fract_x
_atom_site_fract_y
_atom_site_fract_z
Re1 0.0000 0.0000 0.0000
Re2 0.5000 0.5000 0.2448
Mo1 0.0000 0.0000 0.5028
Os1 0.5000 0.5000 0.7519
```

Summary:
* crystal system: orthorhombic
* D(E_F): 0.8869 states/eV per atom

Which structure is the least stable? The one labeled one.

one:
MoOsRu2 | PBEsol | relaxed

The structure in CIF format:
```
data_MoOsRu2
_chemical_formula_sum 'Mo1 Os1 Ru2'
_cell_length_a 2.7057
_cell_length_b 4.6766
_cell_length_c 4.6896
_cell_angle_alpha 99.67
_cell_angle_beta 90.04
_cell_angle_gamma 106.72
_symmetry_space_group_name_H-M 'P 1'
_symmetry_Int_Tables_number 1
loop_
_symmetry_equiv_pos_as_xyz
'x,y,z'
loop_
_atom_site_label
_atom_site_fract_x
_atom_site_fract_y
_atom_site_fract_z
Mo1 0.0000 0.0000 0.0000
Os1 0.2465 0.4940 0.7306
Ru1 0.5008 0.0021 0.5015
Ru2 0.7510 0.5034 0.2481
```

Summary:
* crystal system: triclinic
* D(E_F): 0.9902 states/eV per atom

two:
MoOsRu2 | PBEsol | relaxed

The structure in CIF format:
```
data_MoOsRu2
_chemical_formula_sum 'Mo2 Os2 Ru4'
_cell_length_a 3.8143
_cell_length_b 3.8143
_cell_length_c 7.6764
_cell_angle_alpha 90.00
_cell_angle_beta 90.00
_cell_angle_gamma 90.00
_symmetry_space_group_name_H-M 'I -4 m 2'
_symmetry_Int_Tables_number 119
_symmetry_space_group_name_Hall 'I -4 -2'
loop_
_atom_site_label
_atom_site_fract_x
_atom_site_fract_y
_atom_site_fract_z
Mo1 0.0000 0.0000 0.0000
Os1 0.0000 0.5000 0.2500
Ru1 0.0000 0.0000 0.5000
Ru2 0.0000 0.5000 0.7500
```

Summary:
* crystal system: tetragonal
* D(E_F): 0.8561 states/eV per atom

Which structure is the least stable? The one labeled one.